Run 1
YZr2Si: optimized geometry, PBE.

Cell lengths 4.3338, 3.8175, 11.2324 Å; angles 90.00, 90.00, 90.00 degrees
With the nearest neighbours (Å) after each atom.
Space group Amm2 (No. 38)
Asymmetric unit:
Y (0.0000, 0.0000, 0.0000)  4 Si 3.03, 3 Zr 3.10-3.16
Zr (0.0000, 0.0000, 0.2756)  2 Si 2.69, 4 Zr 3.01
Zr (0.5000, 0.0000, 0.7003)  4 Zr 3.01, 3 Si 3.10-3.18
Si (0.5000, 0.0000, 0.4174)  2 Zr 2.69

**DOS at the Fermi energy**: 7.2 states/eV/cell

***

Run 2
YZr2Si: optimized geometry, PBE.

Cell lengths 3.6309, 3.6309, 26.1227 Å; angles 90.00, 90.00, 120.00 degrees
With the nearest neighbours (Å) after each atom.
Space group R-3m (No. 166, hexagonal axes)
Asymmetric unit:
Y (0.0000, 0.0000, 0.0000)  6 Zr 3.47, 6 Y 3.63
Zr (0.0000, 0.0000, 0.2272)  3 Si 2.63
Si (0.0000, 0.0000, 0.5000)  6 Zr 2.63

**DOS at the Fermi energy**: 16.6 states/eV/cell

***

Run 3
YZr2Si: optimized geometry, PBE.

Cell lengths 6.2279, 8.8290, 3.1873 Å; angles 90.00, 90.00, 90.00 degrees
With the nearest neighbours (Å) after each atom.
Space group Cmmm (No. 65)
Asymmetric unit:
Y (0.0000, 0.0000, 0.0000)  2 Si 3.11, 8 Zr 3.14, 2 Y 3.19
Zr (0.2500, 0.2500, 0.5000)  4 Zr 3.11-3.19, 4 Si 3.14, 4 Y 3.14
Si (0.0000, 0.5000, 0.0000)  2 Y 3.11, 8 Zr 3.14, 2 Si 3.19

**DOS at the Fermi energy**: 7.9 states/eV/cell

***

Which structure loses on stability? run 3 does.

***

Run 1
YZr2Si: optimized geometry, PBE.

Cell lengths 3.6049, 3.6049, 6.9512 Å; angles 90.00, 90.00, 90.00 degrees
With the nearest neighbours (Å) after each atom.
Space group P4mm (No. 99)
Asymmetric unit:
Y (0.0000, 0.0000, 0.0000)  5 Zr 3.01-3.36, 4 Si 3.13
Zr (0.0000, 0.0000, 0.5673)  4 Si 2.81, 1 Y 3.01, 4 Zr 3.09
Zr (0.5000, 0.5000, 0.3156)  1 Si 2.94, 4 Zr 3.09
Si (0.5000, 0.5000, 0.7390)  5 Zr 2.81-2.94, 4 Y 3.13

**DOS at the Fermi energy**: 4.7 states/eV/cell

***

Run 2
YZr2Si: optimized geometry, PBE.

Cell lengths 10.6758, 3.5717, 5.8886 Å; angles 90.00, 122.99, 90.00 degrees
With the nearest neighbours (Å) after each atom.
Space group Cm (No. 8)
Asymmetric unit:
Y (0.0000, 0.0000, 0.0000)  3 Si 2.97-3.01, 1 Zr 3.12
Zr (0.1877, 0.0000, 0.7386)  2 Si 2.65
Zr (0.3965, 0.0000, 0.3851)  2 Si 2.74
Si (0.2201, 0.5000, 0.4414)  4 Zr 2.65-2.74, 2 Y 2.97

**DOS at the Fermi energy**: 8.0 states/eV/cell

***

Run 3
YZr2Si: optimized geometry, PBE.

Cell lengths 4.3048, 4.3048, 9.3546 Å; angles 90.00, 90.00, 90.00 degrees
With the nearest neighbours (Å) after each atom.
Space group I-4m2 (No. 119)
Asymmetric unit:
Y (0.0000, 0.0000, 0.0000)  8 Zr 3.04-3.18, 4 Si 3.18
Zr (0.0000, 0.0000, 0.5000)  4 Y 3.04, 4 Zr 3.18, 4 Si 3.18
Zr (0.0000, 0.5000, 0.7500)  4 Si 3.04, 4 Zr 3.18, 4 Y 3.18
Si (0.0000, 0.5000, 0.2500)  8 Zr 3.04-3.18, 4 Y 3.18

**DOS at the Fermi energy**: 7.1 states/eV/cell

***

Run 4
YZr2Si: optimized geometry, PBE.

Cell lengths 4.2982, 4.2982, 9.4608 Å; angles 90.00, 90.00, 90.00 degrees
With the nearest neighbours (Å) after each atom.
Space group I4/mmm (No. 139)
Asymmetric unit:
Y (0.0000, 0.0000, 0.0000)  4 Si 3.04, 8 Zr 3.20
Zr (0.0000, 0.5000, 0.2500)  4 Zr 3.04, 4 Y 3.20, 4 Si 3.20
Si (0.0000, 0.0000, 0.5000)  4 Y 3.04, 8 Zr 3.20

**DOS at the Fermi energy**: 7.6 states/eV/cell

***

Which structure loses on stability? run 3 does.

***

Run 1
YZr3Si: optimized geometry, PBE.

Cell lengths 5.0788, 5.0788, 5.0788 Å; angles 90.00, 90.00, 90.00 degrees
With the nearest neighbours (Å) after each atom.
Space group Pm-3m (No. 221)
Asymmetric unit:
Y (0.0000, 0.0000, 0.0000)  12 Zr 3.59
Zr (0.0000, 0.5000, 0.5000)  2 Si 2.54
Si (0.5000, 0.5000, 0.5000)  6 Zr 2.54

**DOS at the Fermi energy**: 6.4 states/eV/cell

***

Run 2
YZr3Si: optimized geometry, PBE.

Cell lengths 5.1307, 5.1307, 5.1307 Å; angles 90.00, 90.00, 90.00 degrees
With the nearest neighbours (Å) after each atom.
Space group Pm-3m (No. 221)
Asymmetric unit:
Y (0.0000, 0.0000, 0.0000)  6 Zr 2.57
Zr (0.0000, 0.0000, 0.5000)  2 Y 2.57
Si (0.5000, 0.5000, 0.5000)  12 Zr 3.63

**DOS at the Fermi energy**: 7.6 states/eV/cell

***

Which structure loses on stability? run 2 does.

***

Run 1
Zn5Si4: optimized geometry, PBE.

Cell lengths 8.5813, 8.5813, 3.7527 Å; angles 90.00, 90.00, 90.00 degrees
With the nearest neighbours (Å) after each atom.
Space group I4/mmm (No. 139)
Asymmetric unit:
Zn (0.0000, 0.0000, 0.0000)  8 Zn 2.74, 4 Si 2.89
Zn (0.1645, 0.1645, 0.5000)  6 Zn 2.74-2.82, 6 Si 2.78-2.88
Si (0.0000, 0.3372, 0.0000)  5 Si 2.72-2.79, 7 Zn 2.78-2.89

**DOS at the Fermi energy**: 7.5 states/eV/cell

***

Run 2
Zn5Si4: optimized geometry, PBE.

Cell lengths 8.2914, 8.2914, 4.9305 Å; angles 90.00, 90.00, 120.00 degrees
With the nearest neighbours (Å) after each atom.
Space group P6_3/mcm (No. 193)
Asymmetric unit:
Zn (0.0000, 0.2774, 0.2500)  5 Si 2.52-2.73
Zn (0.3333, 0.6667, 0.0000)  2 Zn 2.47
Si (0.0000, 0.0000, 0.0000)  2 Si 2.47, 6 Zn 2.61
Si (0.0000, 0.4188, 0.7500)  7 Zn 2.52-2.78, 2 Si 2.81

**DOS at the Fermi energy**: 2.6 states/eV/cell

***

Which structure loses on stability? run 2 does.

***

Run 1
Zn4Si5: optimized geometry, PBE.

Cell lengths 8.1507, 8.1507, 5.0011 Å; angles 90.00, 90.00, 120.00 degrees
With the nearest neighbours (Å) after each atom.
Space group P6_3/mcm (No. 193)
Asymmetric unit:
Zn (0.0000, 0.0000, 0.0000)  8 Zn 2.50-2.61
Zn (0.0000, 0.2809, 0.2500)  3 Si 2.54-2.70, 2 Zn 2.61
Si (0.0000, 0.4070, 0.7500)  3 Zn 2.54-2.70, 4 Si 2.77
Si (0.3333, 0.6667, 0.0000)  8 Si 2.50-2.77

**DOS at the Fermi energy**: 8.7 states/eV/cell

***

Run 2
Zn4Si5: optimized geometry, PBE.

Cell lengths 8.1248, 8.1248, 4.1719 Å; angles 90.00, 90.00, 90.00 degrees
With the nearest neighbours (Å) after each atom.
Space group I4/mmm (No. 139)
Asymmetric unit:
Zn (0.0000, 0.3365, 0.0000)  5 Zn 2.66-2.81, 7 Si 2.73-2.85
Si (0.0000, 0.0000, 0.0000)  4 Zn 2.73, 8 Si 2.79
Si (0.1616, 0.1616, 0.5000)  6 Si 2.63-2.91, 6 Zn 2.75-2.85

**DOS at the Fermi energy**: 7.1 states/eV/cell

***

Which structure loses on stability? run 1 does.

***

Run 1
Zr4ZnSi: optimized geometry, PBE.

Cell lengths 8.0171, 8.0171, 8.0171 Å; angles 90.00, 90.00, 90.00 degrees
With the nearest neighbours (Å) after each atom.
Space group F-43m (No. 216)
Asymmetric unit:
Zr (0.1250, 0.1250, 0.1250)  6 Zr 2.83-2.84
Zn (0.0000, 0.0000, 0.5000)  12 Zr 3.32, 4 Si 3.47
Si (0.2500, 0.2500, 0.7500)  12 Zr 3.32, 4 Zn 3.47

**DOS at the Fermi energy**: 28.1 states/eV/cell

***

Run 2
Zr4ZnSi: optimized geometry, PBE.

Cell lengths 6.7121, 6.7121, 5.2997 Å; angles 90.00, 90.00, 90.00 degrees
With the nearest neighbours (Å) after each atom.
Space group P4/mcc (No. 124)
Asymmetric unit:
Zr (0.1496, 0.3413, 0.0000)  2 Si 2.83, 2 Zn 2.90, 1 Zr 2.93
Zn (0.5000, 0.5000, 0.2500)  2 Zn 2.65, 8 Zr 2.90
Si (0.0000, 0.0000, 0.2500)  2 Si 2.65, 8 Zr 2.83

**DOS at the Fermi energy**: 12.2 states/eV/cell

***

Which structure loses on stability? run 1 does.

***

Run 1
ZrZn3Si: optimized geometry, PBE.

Cell lengths 4.5790, 4.5790, 4.5790 Å; angles 90.00, 90.00, 90.00 degrees
With the nearest neighbours (Å) after each atom.
Space group Pm-3m (No. 221)
Asymmetric unit:
Zr (0.0000, 0.0000, 0.0000)  12 Zn 3.24
Zn (0.0000, 0.5000, 0.5000)  2 Si 2.29
Si (0.5000, 0.5000, 0.5000)  6 Zn 2.29

**DOS at the Fermi energy**: 1.9 states/eV/cell

***

Run 2
ZrZn3Si: optimized geometry, PBE.

Cell lengths 5.1682, 5.1682, 5.1682 Å; angles 90.00, 90.00, 90.00 degrees
With the nearest neighbours (Å) after each atom.
Space group Pm-3m (No. 221)
Asymmetric unit:
Zr (0.0000, 0.0000, 0.0000)  6 Zn 2.58
Zn (0.0000, 0.0000, 0.5000)  2 Zr 2.58
Si (0.5000, 0.5000, 0.5000)  12 Zn 3.65

**DOS at the Fermi energy**: 5.4 states/eV/cell

***

Which structure loses on stability? run 2 does.

***

Run 1
Zr5Si4: optimized geometry, PBE.

Cell lengths 8.2155, 8.2155, 5.6972 Å; angles 90.00, 90.00, 120.00 degrees
With the nearest neighbours (Å) after each atom.
Space group P6_3/mcm (No. 193)
Asymmetric unit:
Zr (0.0000, 0.2696, 0.2500)  5 Si 2.63-2.85
Zr (0.3333, 0.6667, 0.0000)  2 Zr 2.85, 6 Si 2.91
Si (0.0000, 0.0000, 0.0000)  6 Zr 2.63, 2 Si 2.85
Si (0.0000, 0.3918, 0.7500)  9 Zr 2.78-3.02

**DOS at the Fermi energy**: 13.7 states/eV/cell

***

Run 2
Zr5Si4: optimized geometry, PBE.

Cell lengths 7.1558, 7.1558, 13.0799 Å; angles 90.00, 90.00, 90.00 degrees
With the nearest neighbours (Å) after each atom.
Space group P4_12_12 (No. 92)
Asymmetric unit:
Zr (0.0010, 0.1458, 0.1266)  6 Si 2.65-2.80
Zr (0.0012, 0.3502, 0.5353)  6 Si 2.78-3.06
Zr (0.1753, 0.8247, 0.2500)  6 Si 2.76-2.89, 2 Zr 3.07
Si (0.0506, 0.6992, 0.4378)  1 Si 2.51, 4 Zr 2.70-2.76
Si (0.1471, 0.2050, 0.3224)  1 Si 2.51, 4 Zr 2.65-2.80

**DOS at the Fermi energy**: 21.6 states/eV/cell

***

Which structure loses on stability? run 1 does.